VASP calculation (PBE) on Ce7Ga5Si after structural relaxation.

Calculated values
**Energy**: -65.978 eV/cell
**D(E_F)**: 32.14 states/eV per cell
**Formation energy from raw total energies**: -0.299 eV/atom
**Magnetization**: 4.68 Bohr magnetons per cell

Cell: 8.0092 8.0092 8.0092 Å, 136.84 97.35 98.20°
Sites, in units of the cell vectors:
Ce (0.0000, 0.0000, 0.0000)
Ce (0.4045, 0.7000, 0.7045)
Ce (0.4189, 0.4189, 0.0000)
Ce (0.5022, 0.1630, 0.3391)
Ce (0.8239, 0.1630, 0.6609)
Ce (0.8689, 0.3689, 0.5000)
Ce (0.9956, 0.7000, 0.2955)
Ga (0.1854, 0.2057, 0.5143)
Ga (0.1854, 0.6711, 0.9797)
Ga (0.4108, 0.9108, 0.5000)
Ga (0.6914, 0.2057, 0.0203)
Ga (0.6914, 0.6711, 0.4857)
Si (0.7040, 0.7040, 0.0000)